--- 1 ---
CuW: relaxed, GGA-PBE.

## Properties
SG   P-3m1
Magnetization   0.0 μB per cell

Cell lengths 2.7368, 2.7368, 9.0055 Å; angles 90.00, 90.00, 120.00 degrees
With the nearest neighbours (Å) after each atom.
Atoms (fractional coordinates):
Cu (0.3333, 0.6667, 0.1141)  9 Cu 2.59-2.74, 3 W 2.74
Cu (0.6667, 0.3333, 0.8859)  9 Cu 2.59-2.74, 3 W 2.74
W (0.3333, 0.6667, 0.6374)  9 W 2.74-2.94, 3 Cu 2.74
W (0.6667, 0.3333, 0.3626)  9 W 2.74-2.94, 3 Cu 2.74

---

--- 2 ---
CuW: relaxed, GGA-PBE.

## Properties
SG   Cm
Magnetization   0.0 μB per cell

Cell lengths 5.1824, 5.1824, 6.6888 Å; angles 106.83, 106.83, 29.73 degrees
With the nearest neighbours (Å) after each atom.
Atoms (fractional coordinates):
Cu (0.0000, 0.0000, 0.0000)  4 Cu 2.57-2.66, 7 W 2.68-2.81
Cu (0.0718, 0.0718, 0.5579)  4 Cu 2.51-2.66, 7 W 2.67-2.77
Cu (0.6611, 0.6611, 0.3060)  6 Cu 2.51-2.66, 3 W 2.66-2.74
W (0.3565, 0.3565, 0.6536)  5 W 2.66-2.89, 7 Cu 2.68-2.88
W (0.3804, 0.3804, 0.2603)  5 W 2.66-2.82, 7 Cu 2.66-2.74
W (0.7073, 0.7073, 0.9060)  6 W 2.66-2.89, 6 Cu 2.67-2.85

---

Relative calculated energies, zero for the most stable structure, unit kJ/mol of atoms: 1 0.0; 2 1.6.

---

--- 1 ---
Cu4W5: relaxed, GGA-PBE.

## Properties
SG   I4/mmm
Magnetization   0.0 μB per cell

Cell lengths 6.1340, 6.1340, 6.1340 Å; angles 95.55, 95.55, 143.76 degrees
With the nearest neighbours (Å) after each atom.
Atoms (fractional coordinates):
Cu (0.0000, 0.3425, 0.3425)  5 Cu 2.60-2.65, 7 W 2.73-2.82
Cu (0.0000, 0.6575, 0.6575)  5 Cu 2.60-2.65, 7 W 2.73-2.82
Cu (0.3425, 0.0000, 0.3425)  5 Cu 2.60-2.65, 7 W 2.73-2.82
Cu (0.6575, 0.0000, 0.6575)  5 Cu 2.60-2.65, 7 W 2.73-2.82
W (0.0000, 0.0000, 0.0000)  8 W 2.75, 4 Cu 2.82
W (0.3305, 0.3305, 0.6609)  6 W 2.68-2.80, 6 Cu 2.73-2.76
W (0.3305, 0.6695, 0.0000)  6 W 2.68-2.80, 6 Cu 2.73-2.76
W (0.6695, 0.3305, 0.0000)  6 W 2.68-2.80, 6 Cu 2.73-2.76
W (0.6695, 0.6695, 0.3391)  6 W 2.68-2.80, 6 Cu 2.73-2.76

---

--- 2 ---
Cu4W5: relaxed, GGA-PBE.

## Properties
SG   P6_3/mcm
Magnetization   0.0 μB per cell

Cell lengths 7.5426, 7.5426, 5.2335 Å; angles 90.00, 90.00, 120.00 degrees
With the nearest neighbours (Å) after each atom.
Atoms (fractional coordinates):
Cu (0.0000, 0.0000, 0.0000)  2 Cu 2.62, 6 W 2.68
Cu (0.0000, 0.0000, 0.5000)  2 Cu 2.62, 6 W 2.68
Cu (0.0000, 0.3579, 0.2500)  9 W 2.50-2.76
Cu (0.0000, 0.6421, 0.7500)  9 W 2.50-2.76
Cu (0.3579, 0.0000, 0.2500)  9 W 2.50-2.76
Cu (0.3579, 0.3579, 0.7500)  9 W 2.50-2.76
Cu (0.6421, 0.0000, 0.7500)  9 W 2.50-2.76
Cu (0.6421, 0.6421, 0.2500)  9 W 2.50-2.76
W (0.0000, 0.3105, 0.7500)  7 Cu 2.50-2.68
W (0.0000, 0.6895, 0.2500)  7 Cu 2.50-2.68
W (0.3105, 0.0000, 0.7500)  7 Cu 2.50-2.68
W (0.3105, 0.3105, 0.2500)  7 Cu 2.50-2.68
W (0.3333, 0.6667, 0.0000)  8 W 2.62-2.91, 6 Cu 2.76
W (0.3333, 0.6667, 0.5000)  8 W 2.62-2.91, 6 Cu 2.76
W (0.6667, 0.3333, 0.0000)  8 W 2.62-2.91, 6 Cu 2.76
W (0.6667, 0.3333, 0.5000)  8 W 2.62-2.91, 6 Cu 2.76
W (0.6895, 0.0000, 0.2500)  7 Cu 2.50-2.68
W (0.6895, 0.6895, 0.7500)  7 Cu 2.50-2.68

---

Relative calculated energies, zero for the most stable structure, unit kJ/mol of atoms: 1 0.0; 2 14.4.